# 1
Material: Rb4YEr3Te8
Method: DFT, PBE-GGA
State: optimized geometry

Results
Final energy, Ha/atom: -0.1635
SG: R-3m (166)
Uncorrected formation energy, eV/f.u.: -22.0

a = 10.0049 Å, b = 10.0049 Å, c = 10.0049 Å
α = 53.52°, β = 53.52°, γ = 53.52°
Fractional positions:
Rb (0.0000, 0.0000, 0.0000)
Rb (0.0000, 0.5000, 0.5000)
Rb (0.5000, 0.0000, 0.5000)
Rb (0.5000, 0.5000, 0.0000)
Y (0.5000, 0.5000, 0.5000)
Er (0.0000, 0.0000, 0.5000)
Er (0.0000, 0.5000, 0.0000)
Er (0.5000, 0.0000, 0.0000)
Te (0.2309, 0.7338, 0.7338)
Te (0.2325, 0.2325, 0.2325)
Te (0.2662, 0.2662, 0.7691)
Te (0.2662, 0.7691, 0.2662)
Te (0.7338, 0.2309, 0.7338)
Te (0.7338, 0.7338, 0.2309)
Te (0.7675, 0.7675, 0.7675)
Te (0.7691, 0.2662, 0.2662)

=====

# 2
Material: Hf2TcSbN
Method: DFT, PBE-GGA
State: optimized geometry

Results
Final energy, Ha/atom: -0.3246
SG: P4/mmm (123)
DOS(E_F), states/eV/f.u.: 4.107
Uncorrected formation energy, eV/f.u.: -1.4

a = 4.2719 Å, b = 4.2719 Å, c = 4.7325 Å
α = 90.00°, β = 90.00°, γ = 90.00°
Fractional positions:
Hf (0.0000, 0.5000, 0.0000)
Hf (0.5000, 0.0000, 0.0000)
Tc (0.0000, 0.0000, 0.5000)
Sb (0.5000, 0.5000, 0.5000)
N (0.5000, 0.5000, 0.0000)

=====

# 3
Material: MgBeRu2
Method: DFT, PBE-GGA
State: optimized geometry

Results
Formation enthalpy at 0 K, eV per atom: 0.01
Final energy, Ha/atom: -0.2190
SG: Immm (71)
DOS(E_F), states/eV/f.u.: 3.812

a = 2.8750 Å, b = 4.4447 Å, c = 8.3845 Å
α = 90.00°, β = 90.00°, γ = 90.00°
Fractional positions:
Mg (0.0000, 0.0000, 0.0000)
Mg (0.5000, 0.5000, 0.5000)
Be (0.0000, 0.0000, 0.5000)
Be (0.5000, 0.5000, 0.0000)
Ru (0.0000, 0.5000, 0.2126)
Ru (0.0000, 0.5000, 0.7874)
Ru (0.5000, 0.0000, 0.2874)
Ru (0.5000, 0.0000, 0.7126)

=====

# 4
Material: Pr12HoPb3
Method: DFT, PBE-GGA
State: optimized geometry

Results
Formation enthalpy at 0 K, eV per atom: -0.24
Final energy, Ha/atom: -0.1768
SG: P4/mmm (123)
DOS(E_F), states/eV/f.u.: 18.291

a = 5.0475 Å, b = 5.0475 Å, c = 20.5568 Å
α = 90.00°, β = 90.00°, γ = 90.00°
Fractional positions:
Pr (0.0000, 0.0000, 0.0000)
Pr (0.0000, 0.0000, 0.2449)
Pr (0.0000, 0.0000, 0.5000)
Pr (0.0000, 0.0000, 0.7551)
Pr (0.0000, 0.5000, 0.1221)
Pr (0.0000, 0.5000, 0.3696)
Pr (0.0000, 0.5000, 0.6304)
Pr (0.0000, 0.5000, 0.8779)
Pr (0.5000, 0.0000, 0.1221)
Pr (0.5000, 0.0000, 0.3696)
Pr (0.5000, 0.0000, 0.6304)
Pr (0.5000, 0.0000, 0.8779)
Ho (0.5000, 0.5000, 0.5000)
Pb (0.5000, 0.5000, 0.0000)
Pb (0.5000, 0.5000, 0.2453)
Pb (0.5000, 0.5000, 0.7547)

=====

# 5
Material: CdHgBi2Pt
Method: DFT, PBE-GGA
State: optimized geometry

Results
Formation enthalpy at 0 K, eV per atom: 0.71
Final energy, Ha/atom: -0.0842
SG: P4/mmm (123)
DOS(E_F), states/eV/f.u.: 2.440

a = 5.6057 Å, b = 5.6057 Å, c = 5.0874 Å
α = 90.00°, β = 90.00°, γ = 90.00°
Fractional positions:
Cd (0.0000, 0.0000, 0.0000)
Hg (0.5000, 0.5000, 0.5000)
Bi (0.0000, 0.5000, 0.0000)
Bi (0.5000, 0.0000, 0.0000)
Pt (0.0000, 0.0000, 0.5000)

=====

# 6
Material: LiNb2CrPb
Method: DFT, PBE-GGA
State: optimized geometry

Results
Formation enthalpy at 0 K, eV per atom: 0.85
Final energy, Ha/atom: -0.2287
SG: P4/mmm (123)
DOS(E_F), states/eV/f.u.: 6.648

a = 4.6423 Å, b = 4.6423 Å, c = 5.2231 Å
α = 90.00°, β = 90.00°, γ = 90.00°
Fractional positions:
Li (0.0000, 0.0000, 0.0000)
Nb (0.0000, 0.5000, 0.5000)
Nb (0.5000, 0.0000, 0.5000)
Cr (0.5000, 0.5000, 0.5000)
Pb (0.5000, 0.5000, 0.0000)

=====

# 7
Material: Pr5RhAu4
Method: DFT, PBE-GGA
State: optimized geometry

Results
Formation enthalpy at 0 K, eV per atom: -0.72
Final energy, Ha/atom: -0.1894
SG: P4/mmm (123)
DOS(E_F), states/eV/f.u.: 7.828

a = 3.6970 Å, b = 3.6970 Å, c = 18.6516 Å
α = 90.00°, β = 90.00°, γ = 90.00°
Fractional positions:
Pr (0.0000, 0.0000, 0.0000)
Pr (0.0000, 0.0000, 0.2043)
Pr (0.0000, 0.0000, 0.4084)
Pr (0.0000, 0.0000, 0.5916)
Pr (0.0000, 0.0000, 0.7957)
Rh (0.5000, 0.5000, 0.5000)
Au (0.5000, 0.5000, 0.1015)
Au (0.5000, 0.5000, 0.3053)
Au (0.5000, 0.5000, 0.6947)
Au (0.5000, 0.5000, 0.8985)

=====

# 8
Material: PmCo5Si3
Method: DFT, PBE-GGA
State: optimized geometry

Results
Final energy, Ha/atom: -0.2511
SG: Cmcm (63)
DOS(E_F), states/eV/f.u.: 7.985
Uncorrected formation energy, eV/f.u.: -5.0

a = 6.1489 Å, b = 6.1489 Å, c = 11.2750 Å
α = 90.00°, β = 90.00°, γ = 144.70°
Fractional positions:
Pm (0.1703, 0.8297, 0.7500)
Pm (0.8297, 0.1703, 0.2500)
Co (0.0000, 0.0000, 0.0000)
Co (0.0000, 0.0000, 0.5000)
Co (0.1933, 0.8067, 0.0646)
Co (0.1933, 0.8067, 0.4354)
Co (0.4503, 0.5497, 0.6460)
Co (0.4503, 0.5497, 0.8540)
Co (0.5497, 0.4503, 0.1460)
Co (0.5497, 0.4503, 0.3540)
Co (0.8067, 0.1933, 0.5646)
Co (0.8067, 0.1933, 0.9354)
Si (0.1083, 0.8917, 0.2500)
Si (0.3806, 0.6194, 0.0400)
Si (0.3806, 0.6194, 0.4600)
Si (0.6194, 0.3806, 0.5400)
Si (0.6194, 0.3806, 0.9600)
Si (0.8917, 0.1083, 0.7500)

=====

# 9
Material: PaCuSi2Pt2
Method: DFT, PBE-GGA
State: optimized geometry

Results
Final energy, Ha/atom: -0.2496
SG: P-3m1 (164)
DOS(E_F), states/eV/f.u.: 4.515
Uncorrected formation energy, eV/f.u.: -4.2

a = 4.1990 Å, b = 4.1990 Å, c = 6.5725 Å
α = 90.00°, β = 90.00°, γ = 120.00°
Fractional positions:
Pa (0.0000, 0.0000, 0.0000)
Cu (0.0000, 0.0000, 0.5000)
Si (0.3333, 0.6667, 0.7149)
Si (0.6667, 0.3333, 0.2851)
Pt (0.3333, 0.6667, 0.3116)
Pt (0.6667, 0.3333, 0.6884)

=====

# 10
Material: Sm6TlHg
Method: DFT, PBE-GGA
State: optimized geometry

Results
Formation enthalpy at 0 K, eV per atom: -0.18
Distance to the lowest polymorph of the same formula, eV/f.u.: 0.122
Final energy, Ha/atom: -0.1489
SG: P4/mmm (123)
DOS(E_F), states/eV/f.u.: 11.258

a = 4.9241 Å, b = 4.9241 Å, c = 9.8098 Å
α = 90.00°, β = 90.00°, γ = 90.00°
Fractional positions:
Sm (0.0000, 0.0000, 0.0000)
Sm (0.0000, 0.0000, 0.5000)
Sm (0.0000, 0.5000, 0.2473)
Sm (0.0000, 0.5000, 0.7527)
Sm (0.5000, 0.0000, 0.2473)
Sm (0.5000, 0.0000, 0.7527)
Tl (0.5000, 0.5000, 0.5000)
Hg (0.5000, 0.5000, 0.0000)

=====

# 11
Material: BeOsSe
Method: DFT, PBE-GGA
State: optimized geometry

Results
Distance to the lowest polymorph of the same formula, eV/f.u.: 0.062
Final energy, Ha/atom: -0.2125
SG: I4mm (107)
DOS(E_F), states/eV/f.u.: 0.908
Uncorrected formation energy, eV/f.u.: 1.1

a = 2.9211 Å, b = 2.9211 Å, c = 11.4921 Å
α = 90.00°, β = 90.00°, γ = 90.00°
Fractional positions:
Be (0.0000, 0.0000, 0.0000)
Be (0.5000, 0.5000, 0.5000)
Os (0.0000, 0.0000, 0.3954)
Os (0.5000, 0.5000, 0.8954)
Se (0.0000, 0.0000, 0.7563)
Se (0.5000, 0.5000, 0.2563)

=====

# 12
Material: Nd3Ho3Cd2
Method: DFT, PBE-GGA
State: optimized geometry

Results
Formation enthalpy at 0 K, eV per atom: -0.07
Final energy, Ha/atom: -0.1398
SG: Cmcm (63)
DOS(E_F), states/eV/f.u.: 9.181

a = 6.4594 Å, b = 6.4594 Å, c = 15.8645 Å
α = 90.00°, β = 90.00°, γ = 131.66°
Fractional positions:
Nd (0.0380, 0.9620, 0.6066)
Nd (0.0380, 0.9620, 0.8934)
Nd (0.2673, 0.7327, 0.7500)
Nd (0.7327, 0.2673, 0.2500)
Nd (0.9620, 0.0380, 0.1066)
Nd (0.9620, 0.0380, 0.3934)
Ho (0.3570, 0.6430, 0.5352)
Ho (0.3570, 0.6430, 0.9648)
Ho (0.4534, 0.5466, 0.2500)
Ho (0.5466, 0.4534, 0.7500)
Ho (0.6430, 0.3570, 0.0352)
Ho (0.6430, 0.3570, 0.4648)
Cd (0.2355, 0.7645, 0.1329)
Cd (0.2355, 0.7645, 0.3671)
Cd (0.7645, 0.2355, 0.6329)
Cd (0.7645, 0.2355, 0.8671)

=====

# 13
Material: Ca8HgN4
Method: DFT, PBE-GGA
State: optimized geometry

Results
Distance to the lowest polymorph of the same formula, eV/f.u.: 1.319
Final energy, Ha/atom: -0.1626
SG: F-43m (216)
DOS(E_F), states/eV/f.u.: 3.735
Uncorrected formation energy, eV/f.u.: -7.9

a = 7.6030 Å, b = 7.6030 Å, c = 7.6030 Å
α = 60.00°, β = 60.00°, γ = 60.00°
Fractional positions:
Ca (0.0733, 0.6422, 0.6422)
Ca (0.1012, 0.1012, 0.1012)
Ca (0.1012, 0.1012, 0.6963)
Ca (0.1012, 0.6963, 0.1012)
Ca (0.6422, 0.0733, 0.6422)
Ca (0.6422, 0.6422, 0.0733)
Ca (0.6422, 0.6422, 0.6422)
Ca (0.6963, 0.1012, 0.1012)
Hg (0.2500, 0.2500, 0.2500)
N (0.3768, 0.8744, 0.8744)
N (0.8744, 0.3768, 0.8744)
N (0.8744, 0.8744, 0.3768)
N (0.8744, 0.8744, 0.8744)

=====

# 14
Material: Dy4CdNi2
Method: DFT, PBE-GGA
State: optimized geometry

Results
Formation enthalpy at 0 K, eV per atom: -0.18
Final energy, Ha/atom: -0.1686
SG: R-3m (166)
DOS(E_F), states/eV/f.u.: 7.079

a = 9.6091 Å, b = 9.6091 Å, c = 9.6091 Å
α = 28.15°, β = 28.15°, γ = 28.15°
Fractional positions:
Dy (0.1098, 0.1098, 0.1098)
Dy (0.2982, 0.2982, 0.2982)
Dy (0.7018, 0.7018, 0.7018)
Dy (0.8902, 0.8902, 0.8902)
Cd (0.5000, 0.5000, 0.5000)
Ni (0.4014, 0.4014, 0.4014)
Ni (0.5986, 0.5986, 0.5986)

=====

# 15
Material: Li2InIr
Method: DFT, PBE-GGA
State: optimized geometry

Results
Formation enthalpy at 0 K, eV per atom: -0.20
Final energy, Ha/atom: -0.1492
SG: I4/mmm (139)
DOS(E_F), states/eV/f.u.: 1.688

a = 3.9252 Å, b = 3.9252 Å, c = 8.0233 Å
α = 90.00°, β = 90.00°, γ = 90.00°
Fractional positions:
Li (0.0000, 0.5000, 0.2500)
Li (0.0000, 0.5000, 0.7500)
Li (0.5000, 0.0000, 0.2500)
Li (0.5000, 0.0000, 0.7500)
In (0.0000, 0.0000, 0.0000)
In (0.5000, 0.5000, 0.5000)
Ir (0.0000, 0.0000, 0.5000)
Ir (0.5000, 0.5000, 0.0000)

=====

# 16
Material: Nd7Dy12Y
Method: DFT, PBE-GGA
State: optimized geometry

Results
Formation enthalpy at 0 K, eV per atom: 0.23
Distance to the lowest polymorph of the same formula, eV/f.u.: 0.000
Final energy, Ha/atom: -0.1662
SG: R-3 (148)
DOS(E_F), states/eV/f.u.: 36.784

a = 8.8129 Å, b = 8.8129 Å, c = 8.8129 Å
α = 85.97°, β = 85.97°, γ = 85.97°
Fractional positions:
Nd (0.0000, 0.0000, 0.0000)
Nd (0.1012, 0.3448, 0.4205)
Nd (0.3448, 0.4205, 0.1012)
Nd (0.4205, 0.1012, 0.3448)
Nd (0.5795, 0.8988, 0.6552)
Nd (0.6552, 0.5795, 0.8988)
Nd (0.8988, 0.6552, 0.5795)
Dy (0.0036, 0.3658, 0.8830)
Dy (0.1170, 0.9964, 0.6342)
Dy (0.2263, 0.7521, 0.3534)
Dy (0.2479, 0.6466, 0.7737)
Dy (0.3534, 0.2263, 0.7521)
Dy (0.3658, 0.8830, 0.0036)
Dy (0.6342, 0.1170, 0.9964)
Dy (0.6466, 0.7737, 0.2479)
Dy (0.7521, 0.3534, 0.2263)
Dy (0.7737, 0.2479, 0.6466)
Dy (0.8830, 0.0036, 0.3658)
Dy (0.9964, 0.6342, 0.1170)
Y (0.5000, 0.5000, 0.5000)

=====

# 17
Material: RbNa2ZnPb
Method: DFT, PBE-GGA
State: optimized geometry

Results
Formation enthalpy at 0 K, eV per atom: 0.03
Distance to the lowest polymorph of the same formula, eV/f.u.: 0.000
Final energy, Ha/atom: -0.0620
SG: P4/mmm (123)
DOS(E_F), states/eV/f.u.: 2.195

a = 5.9054 Å, b = 5.9054 Å, c = 5.3486 Å
α = 90.00°, β = 90.00°, γ = 90.00°
Fractional positions:
Rb (0.0000, 0.0000, 0.0000)
Na (0.0000, 0.5000, 0.5000)
Na (0.5000, 0.0000, 0.5000)
Zn (0.5000, 0.5000, 0.5000)
Pb (0.5000, 0.5000, 0.0000)

=====

# 18
Material: PmCuGePd
Method: DFT, PBE-GGA
State: optimized geometry

Results
Formation enthalpy at 0 K, eV per atom: -0.46
Final energy, Ha/atom: -0.1884
SG: F-43m (216)
DOS(E_F), states/eV/f.u.: 1.186

a = 6.6555 Å, b = 6.6555 Å, c = 6.6555 Å
α = 90.00°, β = 90.00°, γ = 90.00°
Fractional positions:
Pm (0.0000, 0.0000, 0.0000)
Pm (0.0000, 0.5000, 0.5000)
Pm (0.5000, 0.0000, 0.5000)
Pm (0.5000, 0.5000, 0.0000)
Cu (0.2500, 0.2500, 0.7500)
Cu (0.2500, 0.7500, 0.2500)
Cu (0.7500, 0.2500, 0.2500)
Cu (0.7500, 0.7500, 0.7500)
Ge (0.2500, 0.2500, 0.2500)
Ge (0.2500, 0.7500, 0.7500)
Ge (0.7500, 0.2500, 0.7500)
Ge (0.7500, 0.7500, 0.2500)
Pd (0.0000, 0.0000, 0.5000)
Pd (0.0000, 0.5000, 0.0000)
Pd (0.5000, 0.0000, 0.0000)
Pd (0.5000, 0.5000, 0.5000)

=====

# 19
Material: LaMnRu2W
Method: DFT, PBE-GGA
State: optimized geometry

Results
Formation enthalpy at 0 K, eV per atom: 1.34
Final energy, Ha/atom: -0.2860
SG: P4/mmm (123)
DOS(E_F), states/eV/f.u.: 6.788

a = 4.4526 Å, b = 4.4526 Å, c = 4.8140 Å
α = 90.00°, β = 90.00°, γ = 90.00°
Fractional positions:
La (0.0000, 0.0000, 0.0000)
Mn (0.0000, 0.0000, 0.5000)
Ru (0.0000, 0.5000, 0.5000)
Ru (0.5000, 0.0000, 0.5000)
W (0.5000, 0.5000, 0.0000)

=====

# 20
Material: CaTl2SI
Method: DFT, PBE-GGA
State: optimized geometry

Results
Final energy, Ha/atom: -0.1131
SG: P4/mmm (123)
DOS(E_F), states/eV/f.u.: 2.636
Uncorrected formation energy, eV/f.u.: -3.0

a = 6.0962 Å, b = 6.0962 Å, c = 5.1920 Å
α = 90.00°, β = 90.00°, γ = 90.00°
Fractional positions:
Ca (0.0000, 0.0000, 0.0000)
Tl (0.0000, 0.5000, 0.5000)
Tl (0.5000, 0.0000, 0.5000)
S (0.0000, 0.0000, 0.5000)
I (0.5000, 0.5000, 0.0000)

=====

# 21
Material: ScBeAs4
Method: DFT, PBE-GGA
State: optimized geometry

Results
Formation enthalpy at 0 K, eV per atom: 0.34
Final energy, Ha/atom: -0.1631
SG: F-43m (216)
DOS(E_F), states/eV/f.u.: 3.899

a = 5.4749 Å, b = 5.4749 Å, c = 5.4749 Å
α = 60.00°, β = 60.00°, γ = 60.00°
Fractional positions:
Sc (0.0000, 0.0000, 0.0000)
Be (0.2500, 0.2500, 0.2500)
As (0.1286, 0.6238, 0.6238)
As (0.6238, 0.1286, 0.6238)
As (0.6238, 0.6238, 0.1286)
As (0.6238, 0.6238, 0.6238)

=====

# 22
Material: SmTaCoIr2
Method: DFT, PBE-GGA
State: optimized geometry

Results
Formation enthalpy at 0 K, eV per atom: -0.38
Final energy, Ha/atom: -0.3183
SG: I-4m2 (119)
DOS(E_F), states/eV/f.u.: 5.202

a = 4.0196 Å, b = 4.0196 Å, c = 11.6295 Å
α = 90.00°, β = 90.00°, γ = 90.00°
Fractional positions:
Sm (0.0000, 0.0000, 0.0000)
Sm (0.5000, 0.5000, 0.5000)
Ta (0.0000, 0.5000, 0.7500)
Ta (0.5000, 0.0000, 0.2500)
Co (0.0000, 0.5000, 0.2500)
Co (0.5000, 0.0000, 0.7500)
Ir (0.0000, 0.0000, 0.3886)
Ir (0.0000, 0.0000, 0.6114)
Ir (0.5000, 0.5000, 0.1114)
Ir (0.5000, 0.5000, 0.8886)

=====

# 23
Material: PmIn2Pt2
Method: DFT, PBE-GGA
State: optimized geometry

Results
Formation enthalpy at 0 K, eV per atom: -0.76
Final energy, Ha/atom: -0.1918
SG: P2_1/m (11)
DOS(E_F), states/eV/f.u.: 2.237

a = 5.3207 Å, b = 4.7405 Å, c = 9.1889 Å
α = 90.00°, β = 103.67°, γ = 90.00°
Fractional positions:
Pm (0.1750, 0.2500, 0.2711)
Pm (0.8250, 0.7500, 0.7289)
In (0.2188, 0.2500, 0.6301)
In (0.3578, 0.7500, 0.0386)
In (0.6422, 0.2500, 0.9614)
In (0.7812, 0.7500, 0.3699)
Pt (0.1154, 0.2500, 0.9076)
Pt (0.3334, 0.7500, 0.4922)
Pt (0.6666, 0.2500, 0.5078)
Pt (0.8846, 0.7500, 0.0924)

=====

# 24
Material: Ca3Ce3CuSe8
Method: DFT, PBE-GGA
State: optimized geometry

Results
Final energy, Ha/atom: -0.1954
SG: R-3m (166)
DOS(E_F), states/eV/f.u.: 20.552
Uncorrected formation energy, eV/f.u.: -24.0

a = 8.4117 Å, b = 8.4117 Å, c = 8.4117 Å
α = 59.26°, β = 59.26°, γ = 59.26°
Fractional positions:
Ca (0.0000, 0.5000, 0.5000)
Ca (0.5000, 0.0000, 0.5000)
Ca (0.5000, 0.5000, 0.0000)
Ce (0.0000, 0.0000, 0.5000)
Ce (0.0000, 0.5000, 0.0000)
Ce (0.5000, 0.0000, 0.0000)
Cu (0.5000, 0.5000, 0.5000)
Se (0.2517, 0.2517, 0.2517)
Se (0.2569, 0.7398, 0.7398)
Se (0.2602, 0.2602, 0.7431)
Se (0.2602, 0.7431, 0.2602)
Se (0.7398, 0.2569, 0.7398)
Se (0.7398, 0.7398, 0.2569)
Se (0.7431, 0.2602, 0.2602)
Se (0.7483, 0.7483, 0.7483)